Compound: RbNa5Cl6
Source: Alexandria
Functional: PBE-GGA
Structure: relaxed

Cell and atoms, written as CIF:
```
data_RbNa5Cl6
_chemical_formula_sum 'Rb2 Na10 Cl12'
_cell_length_a 7.512
_cell_length_b 7.512
_cell_length_c 13.753
_cell_angle_alpha 90.00
_cell_angle_beta 90.00
_cell_angle_gamma 120.00
_symmetry_space_group_name_H-M 'P 1'
_symmetry_Int_Tables_number 1
_symmetry_space_group_name_Hall 'P 1'
loop_
_atom_site_label
_atom_site_type_symbol
_atom_site_fract_x
_atom_site_fract_y
_atom_site_fract_z
Rb1 Rb 0.000 0.000 0.250
Rb2 Rb 0.000 0.000 0.750
Na1 Na 0.000 0.405 0.250
Na2 Na 0.000 0.595 0.750
Na3 Na 0.333 0.667 0.000
Na4 Na 0.333 0.667 0.500
Na5 Na 0.405 0.000 0.250
Na6 Na 0.405 0.405 0.750
Na7 Na 0.595 0.000 0.750
Na8 Na 0.595 0.595 0.250
Na9 Na 0.667 0.333 0.000
Na10 Na 0.667 0.333 0.500
Cl1 Cl 0.000 0.349 0.618
Cl2 Cl 0.000 0.349 0.882
Cl3 Cl 0.000 0.651 0.118
Cl4 Cl 0.000 0.651 0.382
Cl5 Cl 0.349 0.000 0.618
Cl6 Cl 0.349 0.000 0.882
Cl7 Cl 0.349 0.349 0.118
Cl8 Cl 0.349 0.349 0.382
Cl9 Cl 0.651 0.000 0.118
Cl10 Cl 0.651 0.000 0.382
Cl11 Cl 0.651 0.651 0.618
Cl12 Cl 0.651 0.651 0.882
```

Values from the calculation:
Formation energy (no corrections), eV per atom: -1.61
DOS(E_F), states/eV per atom: 0.0000
M_tot, μB per atom: 0.000

=====

Compound: LaAs4Se
Source: Alexandria
Functional: PBE-GGA
Structure: relaxed

Cell and atoms, written as CIF:
```
data_LaAs4Se
_chemical_formula_sum 'La1 As4 Se1'
_cell_length_a 5.716
_cell_length_b 5.716
_cell_length_c 5.716
_cell_angle_alpha 60.00
_cell_angle_beta 60.00
_cell_angle_gamma 60.00
_symmetry_space_group_name_H-M 'P 1'
_symmetry_Int_Tables_number 1
_symmetry_space_group_name_Hall 'P 1'
loop_
_atom_site_label
_atom_site_type_symbol
_atom_site_fract_x
_atom_site_fract_y
_atom_site_fract_z
La1 La 0.000 0.000 0.000
As1 As 0.384 0.384 0.384
As2 As 0.384 0.384 0.847
As3 As 0.384 0.847 0.384
As4 As 0.847 0.384 0.384
Se1 Se 0.750 0.750 0.750
```

Values from the calculation:
Formation energy (no corrections), eV per atom: -0.34
DOS(E_F), states/eV per atom: 0.6579
M_tot, μB per atom: 0.000

=====

Compound: Pm5Nd4Sm3
Source: Alexandria
Functional: PBE-GGA
Structure: relaxed

Cell and atoms, written as CIF:
```
data_Pm5Nd4Sm3
_chemical_formula_sum 'Pm5 Nd4 Sm3'
_cell_length_a 6.334
_cell_length_b 7.304
_cell_length_c 8.961
_cell_angle_alpha 90.01
_cell_angle_beta 90.09
_cell_angle_gamma 90.05
_symmetry_space_group_name_H-M 'P 1'
_symmetry_Int_Tables_number 1
_symmetry_space_group_name_Hall 'P 1'
loop_
_atom_site_label
_atom_site_type_symbol
_atom_site_fract_x
_atom_site_fract_y
_atom_site_fract_z
Pm1 Pm 0.000 0.000 0.000
Pm2 Pm 0.333 0.500 0.333
Pm3 Pm 0.499 0.251 0.000
Pm4 Pm 0.501 0.749 0.000
Pm5 Pm 0.667 0.500 0.667
Nd1 Nd 0.167 0.749 0.667
Nd2 Nd 0.333 0.000 0.333
Nd3 Nd 0.667 0.000 0.667
Nd4 Nd 0.833 0.251 0.333
Sm1 Sm 0.000 0.500 0.000
Sm2 Sm 0.167 0.251 0.667
Sm3 Sm 0.833 0.749 0.333
```

Values from the calculation:
DOS(E_F), states/eV per atom: 1.4836
Energy of formation, eV per atom: 0.012
M_tot, μB per atom: 0.000

=====

Compound: TiFeCoAu
Source: Alexandria
Functional: PBE-GGA
Structure: relaxed

Cell and atoms, written as CIF:
```
data_TiFeCoAu
_chemical_formula_sum 'Ti1 Fe1 Co1 Au1'
_cell_length_a 4.283
_cell_length_b 4.283
_cell_length_c 4.283
_cell_angle_alpha 60.00
_cell_angle_beta 60.00
_cell_angle_gamma 60.00
_symmetry_space_group_name_H-M 'P 1'
_symmetry_Int_Tables_number 1
_symmetry_space_group_name_Hall 'P 1'
loop_
_atom_site_label
_atom_site_type_symbol
_atom_site_fract_x
_atom_site_fract_y
_atom_site_fract_z
Ti1 Ti 0.000 0.000 0.000
Fe1 Fe 0.250 0.250 0.250
Co1 Co 0.750 0.750 0.750
Au1 Au 0.500 0.500 0.500
```

Values from the calculation:
DOS(E_F), states/eV per atom: 1.2428
Energy of formation, eV per atom: -0.065
M_tot, μB per atom: 0.535

=====

Compound: Ac8ZnSi3Br4
Source: Alexandria
Functional: PBE-GGA
Structure: relaxed

Cell and atoms, written as CIF:
```
data_Ac8ZnSi3Br4
_chemical_formula_sum 'Ac8 Zn1 Si3 Br4'
_cell_length_a 9.205
_cell_length_b 9.205
_cell_length_c 9.205
_cell_angle_alpha 59.99
_cell_angle_beta 59.99
_cell_angle_gamma 59.99
_symmetry_space_group_name_H-M 'P 1'
_symmetry_Int_Tables_number 1
_symmetry_space_group_name_Hall 'P 1'
loop_
_atom_site_label
_atom_site_type_symbol
_atom_site_fract_x
_atom_site_fract_y
_atom_site_fract_z
Ac1 Ac 0.238 0.741 0.741
Ac2 Ac 0.239 0.239 0.239
Ac3 Ac 0.259 0.259 0.762
Ac4 Ac 0.259 0.762 0.259
Ac5 Ac 0.741 0.238 0.741
Ac6 Ac 0.741 0.741 0.238
Ac7 Ac 0.761 0.761 0.761
Ac8 Ac 0.762 0.259 0.259
Zn1 Zn 0.500 0.500 0.500
Si1 Si 0.000 0.000 0.500
Si2 Si 0.000 0.500 0.000
Si3 Si 0.500 0.000 0.000
Br1 Br 0.000 0.000 0.000
Br2 Br 0.000 0.500 0.500
Br3 Br 0.500 0.000 0.500
Br4 Br 0.500 0.500 0.000
```

Values from the calculation:
Formation energy (no corrections), eV per atom: -0.95
DOS(E_F), states/eV per atom: 0.5933
M_tot, μB per atom: 0.000

=====

Compound: PmDy6Sc3
Source: Alexandria
Functional: PBE-GGA
Structure: relaxed

Cell and atoms, written as CIF:
```
data_PmDy6Sc3
_chemical_formula_sum 'Pm1 Dy6 Sc3'
_cell_length_a 6.710
_cell_length_b 6.710
_cell_length_c 6.710
_cell_angle_alpha 91.49
_cell_angle_beta 91.49
_cell_angle_gamma 91.49
_symmetry_space_group_name_H-M 'P 1'
_symmetry_Int_Tables_number 1
_symmetry_space_group_name_Hall 'P 1'
loop_
_atom_site_label
_atom_site_type_symbol
_atom_site_fract_x
_atom_site_fract_y
_atom_site_fract_z
Pm1 Pm 0.000 0.000 0.000
Dy1 Dy 0.001 0.341 0.660
Dy2 Dy 0.165 0.836 0.500
Dy3 Dy 0.341 0.660 0.001
Dy4 Dy 0.500 0.165 0.836
Dy5 Dy 0.660 0.001 0.341
Dy6 Dy 0.836 0.500 0.165
Sc1 Sc 0.260 0.260 0.260
Sc2 Sc 0.500 0.500 0.500
Sc3 Sc 0.740 0.740 0.740
```

Values from the calculation:
DOS(E_F), states/eV per atom: 1.8370
Energy of formation, eV per atom: 0.189
M_tot, μB per atom: 0.099